(1)
The following is a DFT calculation (meta-GGA SCAN) of a crystal of In2Mo15Se19 relaxed with PBEsol.

abc: 9.5329 9.5329 20.1125
angles: 76.29 76.29 60.00
With the nearest neighbours (Å) after each atom.
Sites, in units of the cell vectors:
Se  0.8048  0.5582  0.4510  4 Mo 2.53-2.62
Se  0.8177  0.4579  0.6436  4 Mo 2.52-2.61
Se  0.5421  0.9193  0.3564  4 Mo 2.52-2.61
Se  0.5582  0.1860  0.4510  4 Mo 2.53-2.62
Mo  0.1301  0.8091  0.0591  5 Se 2.53-2.58, 4 Mo 2.67-2.76
Se  0.1762  0.1762  0.4714  3 Mo 2.52
Se  0.6860  0.0582  0.9510  4 Mo 2.53-2.62
Mo  0.0440  0.3639  0.3675  5 Se 2.52-2.70, 4 Mo 2.65-2.80
In  0.1086  0.1086  0.6742  4 Se 3.12-3.15
Mo  0.0016  0.1301  0.0591  5 Se 2.53-2.58, 4 Mo 2.67-2.76
Se  0.9418  0.6952  0.0490  4 Mo 2.53-2.62
Se  0.6762  0.6762  0.9714  3 Mo 2.52
Mo  0.5889  0.9111  0.7500  4 Se 2.52-2.58, 6 Mo 2.66-2.80
Se  0.9371  0.5629  0.2500  4 Mo 2.58-2.70
Se  0.8140  0.1952  0.5490  4 Mo 2.53-2.62
Se  0.0807  0.8177  0.6436  4 Mo 2.52-2.61
Mo  0.5440  0.7245  0.8675  5 Se 2.52-2.70, 4 Mo 2.65-2.80
Se  0.1860  0.8048  0.4510  4 Mo 2.53-2.62
Se  0.9193  0.1823  0.3564  4 Mo 2.52-2.61
Se  0.3140  0.9418  0.0490  4 Mo 2.53-2.62
Mo  0.8091  0.0016  0.0591  5 Se 2.53-2.58, 4 Mo 2.67-2.76
Se  0.4579  0.0807  0.6436  4 Mo 2.52-2.61
Se  0.0629  0.4371  0.7500  4 Mo 2.58-2.70
Mo  0.6361  0.7755  0.6325  5 Se 2.52-2.70, 4 Mo 2.65-2.80
Se  0.4193  0.0421  0.8564  4 Mo 2.52-2.61
Se  0.5807  0.9579  0.1436  4 Mo 2.52-2.61
Mo  0.3639  0.2245  0.3675  5 Se 2.52-2.70, 4 Mo 2.65-2.80
Se  0.9457  0.9457  0.1630  3 Mo 2.53
Se  0.6823  0.4193  0.8564  4 Mo 2.52-2.61
Se  0.4457  0.4457  0.6630  3 Mo 2.53
Mo  0.1909  0.9984  0.9409  5 Se 2.53-2.58, 4 Mo 2.67-2.76
Se  0.6952  0.3140  0.0490  4 Mo 2.53-2.62
Se  0.7500  0.0629  0.7500  4 Mo 2.58-2.70
Se  0.9579  0.3177  0.1436  4 Mo 2.52-2.61
Mo  0.6301  0.5016  0.5591  5 Se 2.53-2.58, 4 Mo 2.67-2.76
Mo  0.3699  0.4984  0.4409  5 Se 2.53-2.58, 4 Mo 2.67-2.76
Mo  0.5016  0.3091  0.5591  5 Se 2.53-2.58, 4 Mo 2.67-2.76
Se  0.5629  0.2500  0.2500  4 Mo 2.58-2.70
Se  0.2500  0.9371  0.2500  4 Mo 2.58-2.70
Mo  0.9984  0.8699  0.9409  5 Se 2.53-2.58, 4 Mo 2.67-2.76
Se  0.0543  0.0543  0.8370  3 Mo 2.53
Se  0.3048  0.6860  0.9510  4 Mo 2.53-2.62
Mo  0.2500  0.4111  0.2500  4 Se 2.52-2.58, 6 Mo 2.66-2.80
In  0.3914  0.3914  0.8258  4 Se 3.12-3.15
Mo  0.2245  0.0440  0.3675  5 Se 2.52-2.70, 4 Mo 2.65-2.80
Mo  0.6909  0.3699  0.4409  5 Se 2.53-2.58, 4 Mo 2.67-2.76
Mo  0.4560  0.2755  0.1325  5 Se 2.52-2.70, 4 Mo 2.65-2.80
Se  0.5543  0.5543  0.3370  3 Mo 2.53
Se  0.0582  0.3048  0.9510  4 Mo 2.53-2.62
Se  0.1952  0.4418  0.5490  4 Mo 2.53-2.62
Se  0.4371  0.7500  0.7500  4 Mo 2.58-2.70
Mo  0.0889  0.2500  0.2500  4 Se 2.52-2.58, 6 Mo 2.66-2.80
Se  0.4418  0.8140  0.5490  4 Mo 2.53-2.62
Mo  0.1361  0.4560  0.1325  5 Se 2.52-2.70, 4 Mo 2.65-2.80
Se  0.3177  0.5807  0.1436  4 Mo 2.52-2.61
Se  0.3238  0.3238  0.0286  3 Mo 2.52
Mo  0.8699  0.1909  0.9409  5 Se 2.53-2.58, 4 Mo 2.67-2.76
Se  0.0421  0.6823  0.8564  4 Mo 2.52-2.61
Mo  0.2755  0.1361  0.1325  5 Se 2.52-2.70, 4 Mo 2.65-2.80
Mo  0.4111  0.0889  0.2500  4 Se 2.52-2.58, 6 Mo 2.66-2.80
Mo  0.9111  0.7500  0.7500  4 Se 2.52-2.58, 6 Mo 2.66-2.80
In  0.6086  0.6086  0.1742  4 Se 3.12-3.15
Mo  0.7500  0.5889  0.7500  4 Se 2.52-2.58, 6 Mo 2.66-2.80
Se  0.8238  0.8238  0.5286  3 Mo 2.52
In  0.8914  0.8914  0.3258  4 Se 3.12-3.15
Mo  0.7755  0.9560  0.6325  5 Se 2.52-2.70, 4 Mo 2.65-2.80
Mo  0.7245  0.8639  0.8675  5 Se 2.52-2.70, 4 Mo 2.65-2.80
Mo  0.8639  0.5440  0.8675  5 Se 2.52-2.70, 4 Mo 2.65-2.80
Mo  0.9560  0.6361  0.6325  5 Se 2.52-2.70, 4 Mo 2.65-2.80
Mo  0.4984  0.6909  0.4409  5 Se 2.53-2.58, 4 Mo 2.67-2.76
Se  0.1823  0.5421  0.3564  4 Mo 2.52-2.61
Mo  0.3091  0.6301  0.5591  5 Se 2.53-2.58, 4 Mo 2.67-2.76

Calculated values
Its symmetry is No. 167. The value obtained for the density is 6.91 g cm⁻³. The calculation puts the formation energy from raw total energies at -0.528 eV per atom. As for the crystal system: trigonal. As for the volume: 1522 Å³/cell.

(2)
The following is a DFT calculation (meta-GGA SCAN) of a crystal of In2MoSe relaxed with PBEsol.

abc: 3.0912 3.0912 8.6691
angles: 90.00 90.00 90.00
With the nearest neighbours (Å) after each atom.
Sites, in units of the cell vectors:
In  0.5000  0.5000  0.2936  4 Mo 2.98, 4 In 3.09
In  0.0000  0.0000  0.9982  8 In 3.09-3.37
Se  0.5000  0.5000  0.6810  4 Mo 2.56
Mo  0.0000  0.0000  0.5272  4 Se 2.56

Calculated values
Its symmetry is No. 99. The value obtained for the density is 8.11 g cm⁻³. The calculation puts the formation energy from raw total energies at 0.009 eV per atom. As for the crystal system: tetragonal. As for the volume: 83 Å³/cell.

(3)
The following is a DFT calculation (meta-GGA SCAN) of a crystal of ZrIn2MoSe relaxed with PBEsol.

abc: 4.5966 5.2136 5.2136
angles: 90.00 90.00 90.00
With the nearest neighbours (Å) after each atom.
Sites, in units of the cell vectors:
Se  0.5000  0.0000  0.0000  2 Mo 2.30
In  0.0000  0.0000  0.5000  2 Mo 2.61
In  0.0000  0.5000  0.0000  2 Mo 2.61
Zr  0.5000  0.5000  0.5000  8 In 3.48, 4 Se 3.69
Mo  0.0000  0.0000  0.0000  2 Se 2.30

Calculated values
Its symmetry is No. 123. The value obtained for the density is 6.59 g cm⁻³. The calculation puts the formation energy from raw total energies at 0.657 eV per atom. As for the crystal system: tetragonal. As for the volume: 125 Å³/cell.

(4)
The following is a DFT calculation (meta-GGA SCAN) of a crystal of InSiMo relaxed with PBEsol.

abc: 2.8471 2.8471 6.7886
angles: 99.38 99.38 102.89
With the nearest neighbours (Å) after each atom.
Sites, in units of the cell vectors:
Mo  0.6799  0.6799  0.3597  2 Si 2.51
In  0.0054  0.0054  0.0107  4 In 2.85, 2 Mo 2.89, 2 Si 3.06
Si  0.3148  0.3148  0.6296  2 Mo 2.51

Calculated values
Its symmetry is No. 42. The value obtained for the density is 7.66 g cm⁻³. The calculation puts the formation energy from raw total energies at 0.431 eV per atom. As for the crystal system: orthorhombic. As for the volume: 52 Å³/cell.

(5)
The following is a DFT calculation (meta-GGA SCAN) of a crystal of In2SiMo relaxed with PBEsol.

abc: 2.9767 2.9767 8.8820
angles: 90.00 90.00 104.24
With the nearest neighbours (Å) after each atom.
Sites, in units of the cell vectors:
Mo  0.0000  0.0000  0.4725  2 Si 2.47
In  0.5000  0.5000  0.7190  2 Mo 2.85, 4 In 2.98
Si  0.5000  0.5000  0.2862  2 Mo 2.47
In  0.0000  0.0000  0.0222  4 Si 2.97-3.32, 6 In 2.98-3.25

Calculated values
Its symmetry is No. 35. The value obtained for the density is 7.70 g cm⁻³. The calculation puts the formation energy from raw total energies at 0.342 eV per atom. As for the crystal system: orthorhombic. As for the volume: 76 Å³/cell.

(6)
The following is a DFT calculation (meta-GGA SCAN) of a crystal of InSiMo relaxed with PBEsol.

abc: 3.0122 3.0122 6.5679
angles: 90.00 90.00 120.00
With the nearest neighbours (Å) after each atom.
Sites, in units of the cell vectors:
Si  0.3333  0.6667  0.3644  3 Mo 2.52
Mo  0.6667  0.3333  0.6413  3 Si 2.52
In  0.0000  0.0000  0.9943  3 Mo 2.90, 3 Si 2.99, 6 In 3.01

Calculated values
Its symmetry is No. 156. The value obtained for the density is 7.68 g cm⁻³. The calculation puts the formation energy from raw total energies at 0.343 eV per atom. As for the crystal system: trigonal. As for the volume: 52 Å³/cell.

(7)
The following is a DFT calculation (meta-GGA SCAN) of a crystal of In2SiMo relaxed with PBEsol.

abc: 3.7512 3.8503 5.5788
angles: 110.19 90.00 90.00
With the nearest neighbours (Å) after each atom.
Sites, in units of the cell vectors:
In  0.5000  0.2824  0.5647  1 Si 2.78, 4 Mo 2.84
Si  0.5000  0.5474  0.0947  2 Mo 2.43
Mo  0.0000  0.6944  0.3887  2 Si 2.43
In  0.0000  0.9725  0.9449  4 Si 2.80, 3 Mo 2.91-3.02

Calculated values
Its symmetry is No. 38. The value obtained for the density is 7.77 g cm⁻³. The calculation puts the formation energy from raw total energies at 0.200 eV per atom. As for the crystal system: orthorhombic. As for the volume: 76 Å³/cell.

(8)
The following is a DFT calculation (meta-GGA SCAN) of a crystal of InSiMo4 relaxed with PBEsol.

abc: 5.2045 5.2045 5.2045
angles: 60.00 60.00 60.00
With the nearest neighbours (Å) after each atom.
Sites, in units of the cell vectors:
Mo  0.8753  0.3749  0.3749  6 Mo 2.60
Si  0.7500  0.7500  0.7500  12 Mo 3.05, 4 In 3.19
Mo  0.3749  0.3749  0.8753  6 Mo 2.60
Mo  0.3749  0.3749  0.3749  6 Mo 2.60
Mo  0.3749  0.8753  0.3749  6 Mo 2.60
In  0.0000  0.0000  0.0000  12 Mo 3.05, 4 Si 3.19

Calculated values
Its symmetry is No. 216. The value obtained for the density is 8.77 g cm⁻³. The calculation puts the formation energy from raw total energies at 0.521 eV per atom. As for the crystal system: cubic. As for the volume: 100 Å³/cell.

> Which of these has the highest formation energy from raw total energies?

ZrIn2MoSe